Record 1
VASP calculation (PBE-GGA) on a relaxed Zr4InSn crystal.

Cell lengths 5.9259, 5.9259, 4.9715 Å; angles 90.00, 90.00, 90.19 degrees
Fractional coordinates of all 6 atoms:
Zr: 0.1738 0.8262 0.0000
Zr: 0.3268 0.3268 0.5000
Zr: 0.6732 0.6732 0.5000
Zr: 0.8262 0.1738 0.0000
In: 0.0000 0.0000 0.5000
Sn: 0.5000 0.5000 0.0000

Results
- Distance to the lowest polymorph of the same formula: 5.604 eV/f.u.
- Space-group type: Cmmm (65)
- Crystal system: orthorhombic


Record 2
VASP calculation (PBE-GGA) on a relaxed ZrInSn2 crystal.

Cell lengths 6.5880, 6.5880, 6.5880 Å; angles 102.51, 102.51, 124.53 degrees
Fractional coordinates of all 8 atoms:
Zr: 0.0000 0.0000 0.0000
Zr: 0.7500 0.2500 0.5000
In: 0.2500 0.7500 0.5000
In: 0.5000 0.5000 0.0000
Sn: 0.1229 0.6250 0.9979
Sn: 0.3750 0.3729 0.4979
Sn: 0.6271 0.1250 0.0021
Sn: 0.8750 0.8771 0.5021

Results
- Space-group type: I-42d (122)
- Crystal system: tetragonal


Record 3
VASP calculation (PBE-GGA) on a relaxed ZrIn3Sn crystal.

Cell lengths 5.5752, 5.5752, 5.5752 Å; angles 90.00, 90.00, 90.00 degrees
Fractional coordinates of all 5 atoms:
Zr: 0.0000 0.0000 0.0000
In: 0.0000 0.0000 0.5000
In: 0.0000 0.5000 0.0000
In: 0.5000 0.0000 0.0000
Sn: 0.5000 0.5000 0.5000

Results
- Distance to the lowest polymorph of the same formula: 0.000 eV/f.u.
- Space-group type: Pm-3m (221)
- Crystal system: cubic


no.,ΔE_f (kJ/mol of atoms),electronic total energy (eV/f.u.)
1,59,-37.256
2,8,-18.950
3,54,-17.972